Record 1
A plane-wave DFT calculation with PBE-GGA was carried out for a relaxed Re4Ni9 crystal.

a b c (Å): 8.818 8.818 8.818
angles (deg): 30.36 30.36 30.36
Each line ends with the local moment (μB).
Fractional coordinates of all 13 atoms:
Re  0.347  0.347  0.347  0.06
Ni  0.089  0.586  0.089  0.11
Ni  0.000  0.000  0.000  0.10
Re  0.452  0.452  0.452  0.04
Ni  0.911  0.911  0.414  0.10
Ni  0.911  0.414  0.911  0.11
Re  0.653  0.653  0.653  0.06
Ni  0.833  0.833  0.833  0.06
Ni  0.089  0.089  0.586  0.10
Ni  0.167  0.167  0.167  0.06
Ni  0.586  0.089  0.089  0.09
Ni  0.414  0.911  0.911  0.09
Re  0.548  0.548  0.548  0.04

Properties
Energy above the lowest structure with this stoichiometry   0.081 eV per atom
V   155.23 Å³ per cell
E   -7.590 eV/atom
Formation energy   87 meV/atom

Record 2
A plane-wave DFT calculation with PBE-GGA was carried out for a relaxed Re10Ni3 crystal.

a b c (Å): 9.183 9.183 9.183
angles (deg): 31.74 31.74 31.74
Fractional coordinates of all 13 atoms:
Ni  0.168  0.168  0.168
Re  0.452  0.452  0.452
Re  0.088  0.088  0.586
Re  0.586  0.088  0.088
Re  0.343  0.343  0.343
Re  0.657  0.657  0.657
Ni  0.832  0.832  0.832
Re  0.414  0.912  0.912
Re  0.548  0.548  0.548
Re  0.912  0.912  0.414
Re  0.088  0.586  0.088
Ni  0.000  0.000  0.000
Re  0.912  0.414  0.912

Properties
Energy above the lowest structure with this stoichiometry   0.001 eV per atom
V   190.37 Å³ per cell
E   -10.649 eV/atom
Formation energy   192 meV/atom

Record 3
A plane-wave DFT calculation with PBE-GGA was carried out for a relaxed ReNi3 crystal.

a b c (Å): 4.047 4.047 4.047
angles (deg): 60.00 60.00 60.00
Fractional coordinates of all 4 atoms:
Ni  0.250  0.250  0.250
Ni  0.000  0.000  0.000
Re  0.750  0.750  0.750
Ni  0.500  0.500  0.500

Properties
V   46.85 Å³ per cell
E   -7.143 eV/atom
Formation energy   139 meV/atom

Record 4
A plane-wave DFT calculation with PBE-GGA was carried out for a relaxed ReNi3 crystal.

a b c (Å): 4.448 4.448 4.448
angles (deg): 132.92 132.92 68.77
Fractional coordinates of all 4 atoms:
Ni  0.250  0.750  0.500
Ni  0.000  0.000  0.000
Ni  0.750  0.250  0.500
Re  0.500  0.500  0.000

Properties
V   46.34 Å³ per cell
E   -7.252 eV/atom
Formation energy   29 meV/atom

Record 5
A plane-wave DFT calculation with PBE-GGA was carried out for a relaxed Re5Ni crystal.

a b c (Å): 5.093 5.093 16.512
angles (deg): 90.00 90.00 120.00
Fractional coordinates of all 24 atoms:
Re  0.500  0.500  0.000
Re  0.317  0.158  0.750
Ni  0.333  0.667  0.852
Re  0.842  0.158  0.750
Re  0.500  0.500  0.500
Re  0.000  0.500  0.000
Re  0.000  0.000  0.415
Re  0.667  0.333  0.871
Re  0.683  0.842  0.250
Re  0.000  0.000  0.915
Re  0.333  0.667  0.371
Re  0.158  0.842  0.250
Ni  0.333  0.667  0.648
Re  0.158  0.317  0.250
Re  0.500  0.000  0.000
Re  0.333  0.667  0.129
Re  0.000  0.000  0.085
Re  0.000  0.000  0.585
Ni  0.667  0.333  0.148
Re  0.000  0.500  0.500
Re  0.667  0.333  0.629
Re  0.842  0.683  0.750
Re  0.500  0.000  0.500
Ni  0.667  0.333  0.352

Properties
Energy above the lowest structure with this stoichiometry   0.250 eV per atom
V   370.98 Å³ per cell
E   -10.798 eV/atom
Formation energy   482 meV/atom

Record 6
A plane-wave DFT calculation with PBE-GGA was carried out for a relaxed Re5Ni7 crystal.

a b c (Å): 4.933 4.933 15.053
angles (deg): 90.00 90.00 120.00
Fractional coordinates of all 24 atoms:
Ni  0.500  0.000  0.000
Ni  0.333  0.667  0.380
Ni  0.500  0.500  0.000
Ni  0.500  0.500  0.500
Re  0.667  0.333  0.158
Ni  0.667  0.333  0.880
Ni  0.000  0.000  0.406
Ni  0.000  0.500  0.500
Ni  0.500  0.000  0.500
Re  0.836  0.672  0.750
Re  0.333  0.667  0.842
Re  0.672  0.836  0.250
Re  0.667  0.333  0.342
Re  0.164  0.328  0.250
Re  0.836  0.164  0.750
Ni  0.667  0.333  0.620
Ni  0.333  0.667  0.120
Ni  0.000  0.500  0.000
Ni  0.000  0.000  0.094
Re  0.164  0.836  0.250
Re  0.333  0.667  0.658
Re  0.328  0.164  0.750
Ni  0.000  0.000  0.594
Ni  0.000  0.000  0.906

Properties
Energy above the lowest structure with this stoichiometry   0.014 eV per atom
V   317.26 Å³ per cell
E   -8.121 eV/atom
Formation energy   303 meV/atom